DFT (PBE) results for a geometry-optimized La2ZrRuPb structure.

Properties
DFT formation energy   0.1697 eV per atom
Symmetry   No. 123

Unit cell a=5.3119 b=5.3119 c=5.4200 alpha=90.00 beta=90.00 gamma=90.00
With the nearest neighbours (Å) after each atom.
Atoms (fractional coordinates):
La  0.0000  0.5000  0.0000  2 Ru 2.66
La  0.5000  0.0000  0.0000  2 Ru 2.66
Zr  0.0000  0.0000  0.5000  4 Pb 3.76, 8 La 3.79
Ru  0.5000  0.5000  0.0000  4 La 2.66, 2 Pb 2.71
Pb  0.5000  0.5000  0.5000  2 Ru 2.71


DFT (PBE) results for a geometry-optimized La2PbS structure.

Properties
Symmetry   No. 166
Energy above the most stable polymorph in this dataset   0.000 eV/atom

Unit cell a=4.1621 b=4.1621 c=24.3074 alpha=90.00 beta=90.00 gamma=120.00
With the nearest neighbours (Å) after each atom.
Atoms (fractional coordinates):
La  0.0000  0.0000  0.2347  3 S 2.92
La  0.0000  0.0000  0.7653  3 S 2.92
La  0.3333  0.6667  0.4319  3 S 2.92
La  0.3333  0.6667  0.9014  3 S 2.92
La  0.6667  0.3333  0.0986  3 S 2.92
La  0.6667  0.3333  0.5681  3 S 2.92
Pb  0.0000  0.0000  0.0000  6 La 3.39
Pb  0.3333  0.6667  0.6667  6 La 3.39
Pb  0.6667  0.3333  0.3333  6 La 3.39
S  0.0000  0.0000  0.5000  6 La 2.92
S  0.3333  0.6667  0.1667  6 La 2.92
S  0.6667  0.3333  0.8333  6 La 2.92


| no. | DFT total energy (eV/atom) |
| --- | --- |
| 1 | -6.108 |
| 2 | -5.726 |